[1]
The following is a GGA-PBE calculation of Na4Ga2S5 after structural relaxation, from Alexandria via LeMat-Bulk.

Cell lengths 8.043, 6.163, 20.098 Å; angles 90.00, 91.44, 90.00 degrees
Space group P2_1/c (No. 14)
Symmetry-distinct sites (fractional):
Na  0.076  0.243  0.044 x4
Na  0.109  0.001  0.702 x4
Na  0.345  0.525  0.783 x4
Na  0.402  0.543  0.603 x4
Ga  0.167  0.066  0.865 x4
Ga  0.346  0.586  0.963 x4
S  0.091  0.023  0.173 x4
S  0.135  0.071  0.402 x4
S  0.258  0.564  0.470 x4
S  0.369  0.014  0.792 x4
S  0.388  0.024  0.574 x4

Output
* DOS(E_F): 0.0 states/eV/f.u.
* formation energy (no corrections): -1.0155 eV/atom
* total magnetic moment: 0.00 μB per formula unit
* crystal system: monoclinic

[2]
The following is a GGA-PBE calculation of NaGaS2 after structural relaxation, from Alexandria via LeMat-Bulk.

Cell lengths 4.119, 19.521, 4.983 Å; angles 90.00, 90.00, 90.00 degrees
Space group Cmcm (No. 63)
Symmetry-distinct sites (fractional):
Na  0.000  0.176  0.250 x4
Ga  0.000  0.435  0.250 x4
S  0.000  0.324  0.250 x4
S  0.000  0.450  0.750 x4

Output
* formation energy (no corrections): -0.6172 eV/atom
* total magnetic moment: 0.00 μB per formula unit
* crystal system: orthorhombic

[3]
The following is a GGA-PBE calculation of NaGaS2 after structural relaxation, from Alexandria via LeMat-Bulk.

Cell lengths 3.642, 17.956, 5.799 Å; angles 90.00, 90.00, 90.00 degrees
Space group Cmcm (No. 63)
Symmetry-distinct sites (fractional):
Na  0.000  0.063  0.250 x4
Ga  0.000  0.323  0.250 x4
S  0.000  0.093  0.750 x4
S  0.000  0.205  0.250 x4

Output
* DOS(E_F): 0.1 states/eV/f.u.
* formation energy (no corrections): -0.5188 eV/atom
* total magnetic moment: 0.00 μB per formula unit
* crystal system: orthorhombic